[1]
VASP calculation (PBE) on a geometry-optimized Fe2NiTe structure.

```
Fe2NiTe
1.0
1.8462 1.0659 5.5335
-1.8462 1.0659 5.5335
0.0000 -2.1318 5.5335
Fe Ni Te
2 1 1
direct
0.2274 0.2274 0.2274
0.7726 0.7726 0.7726
0.5000 0.5000 0.5000
0.0000 0.0000 0.0000
```

Output
E   -6.0574 eV per atom
ΔE_f (raw)   9.333 kcal/mol of atoms
DOS at the Fermi energy   2.070 states/eV per cell



[2]
VASP calculation (PBE) on a geometry-optimized Fe2NiTe structure.

```
Fe2NiTe
1.0
1.9874 1.1474 4.3925
-1.9874 1.1474 4.3925
0.0000 -2.2948 4.3925
Fe Ni Te
2 1 1
direct
0.0000 0.0000 0.0000
0.3816 0.3816 0.3816
0.7924 0.7924 0.7924
0.5768 0.5768 0.5768
```

Output
E   -6.2163 eV per atom
ΔE_f (raw)   5.669 kcal/mol of atoms
DOS at the Fermi energy   3.991 states/eV per cell



[3]
VASP calculation (PBE) on a geometry-optimized Fe3NiTe structure.

```
Fe3NiTe
1.0
4.4076 0.0000 0.0000
0.0000 4.4076 0.0000
0.0000 0.0000 4.4076
Fe Ni Te
3 1 1
direct
0.0000 0.0000 0.5000
0.0000 0.5000 0.0000
0.5000 0.0000 0.0000
0.0000 0.0000 0.0000
0.5000 0.5000 0.5000
```

Output
E above lowest polymorph   0.0000 eV per atom
E   -6.1099 eV per atom
ΔE_f (raw)   17.349 kcal/mol of atoms
DOS at the Fermi energy   6.038 states/eV per cell



[4]
VASP calculation (PBE) on a geometry-optimized FeNi2Te4 structure.

```
FeNi2Te4
1.0
-2.4651 2.4651 7.0754
2.4651 -2.4651 7.0754
2.4651 2.4651 -7.0754
Fe Ni Te
1 2 4
direct
0.0000 0.0000 0.0000
0.4160 0.4160 0.0000
0.5840 0.5840 0.0000
0.0000 0.5000 0.5000
0.2447 0.2447 0.0000
0.5000 0.0000 0.5000
0.7553 0.7553 0.0000
```

Output
E   -4.3729 eV per atom
ΔE_f (raw)   6.528 kcal/mol of atoms
DOS at the Fermi energy   5.997 states/eV per cell



[5]
VASP calculation (PBE) on a geometry-optimized Fe2NiTe structure.

```
Fe2NiTe
1.0
-1.8211 1.8211 9.1921
1.8211 -1.8211 9.1921
1.8211 1.8211 -9.1921
Fe Ni Te
4 2 2
direct
0.1146 0.6250 0.9896
0.3750 0.3646 0.4896
0.6354 0.1250 0.0104
0.8750 0.8854 0.5104
0.0000 0.0000 0.0000
0.7500 0.2500 0.5000
0.2500 0.7500 0.5000
0.5000 0.5000 0.0000
```

Output
E   -6.0814 eV per atom
ΔE_f (raw)   8.779 kcal/mol of atoms
DOS at the Fermi energy   7.309 states/eV per cell



[6]
VASP calculation (PBE) on a geometry-optimized FeNi2Te structure.

```
FeNi2Te
1.0
-1.9077 1.9077 3.7661
1.9077 -1.9077 3.7661
1.9077 1.9077 -3.7661
Fe Ni Te
1 2 1
direct
0.0000 0.0000 0.0000
0.2500 0.7500 0.5000
0.7500 0.2500 0.5000
0.5000 0.5000 0.0000
```

Output
E   -5.6185 eV per atom
ΔE_f (raw)   3.996 kcal/mol of atoms
DOS at the Fermi energy   4.933 states/eV per cell



[7]
VASP calculation (PBE) on a geometry-optimized TiFe2NiTe structure.

```
TiFe2NiTe
1.0
4.4394 0.0000 0.0000
0.0000 4.4394 0.0000
0.0000 0.0000 4.5152
Ti Fe Ni Te
1 2 1 1
direct
0.0000 0.0000 0.0000
0.0000 0.5000 0.5000
0.5000 0.0000 0.5000
0.0000 0.0000 0.5000
0.5000 0.5000 0.0000
```

Output
E   -6.2522 eV per atom
ΔE_f (raw)   11.448 kcal/mol of atoms
DOS at the Fermi energy   5.478 states/eV per cell



[8]
VASP calculation (PBE) on a geometry-optimized ThFeNi4 structure.

```
ThFeNi4
1.0
4.9621 0.0000 0.0000
-2.4811 4.2973 0.0000
0.0000 0.0000 4.0070
Th Fe Ni
1 1 4
direct
0.0000 0.0000 0.0000
0.3333 0.6667 0.0000
0.0002 0.5001 0.5000
0.4999 0.9998 0.5000
0.4999 0.5001 0.5000
0.6667 0.3333 0.0000
```

Output
E_form   -299 meV/atom
E   -6.8004 eV per atom
DOS at the Fermi energy   6.047 states/eV per cell



[9]
VASP calculation (PBE) on a geometry-optimized ThFe4Ni structure.

```
ThFe4Ni
1.0
0.0000 3.5371 3.5371
3.5371 0.0000 3.5371
3.5371 3.5371 0.0000
Th Fe Ni
1 4 1
direct
0.0000 0.0000 0.0000
0.1295 0.6235 0.6235
0.6235 0.1295 0.6235
0.6235 0.6235 0.1295
0.6235 0.6235 0.6235
0.2500 0.2500 0.2500
```

Output
E_form   27 meV/atom
E   -7.8151 eV per atom
DOS at the Fermi energy   5.004 states/eV per cell



[10]
VASP calculation (PBE) on a geometry-optimized Th2FeNi9 structure.

```
Th2FeNi9
1.0
2.4637 1.4224 8.1954
-2.4637 1.4224 8.1954
0.0000 -2.8449 8.1954
Th Fe Ni
2 1 9
direct
0.1305 0.1305 0.1305
0.8695 0.8695 0.8695
0.0000 0.0000 0.0000
0.0791 0.5805 0.5805
0.3330 0.3330 0.3330
0.4195 0.4195 0.9209
0.4195 0.9209 0.4195
0.5000 0.5000 0.5000
0.5805 0.0791 0.5805
0.5805 0.5805 0.0791
0.6670 0.6670 0.6670
0.9209 0.4195 0.4195
```

Output
E_form   -146 meV/atom
E   -6.4242 eV per atom
DOS at the Fermi energy   11.343 states/eV per cell



[11]
VASP calculation (PBE) on a geometry-optimized ThFeNi structure.

```
ThFeNi
1.0
4.0732 0.0000 0.0000
-2.0366 3.5275 0.0000
0.0000 0.0000 3.9523
Th Fe Ni
1 1 1
direct
0.0000 0.0000 0.0000
0.6667 0.3333 0.5000
0.3333 0.6667 0.5000
```

Output
E_form   -153 meV/atom
E   -7.3748 eV per atom
DOS at the Fermi energy   4.265 states/eV per cell



[12]
VASP calculation (PBE) on a geometry-optimized Th2Fe2Ni15 structure.

```
Th2Fe2Ni15
1.0
4.1746 2.4102 4.0838
-4.1746 2.4102 4.0838
0.0000 -4.8204 4.0838
Th Fe Ni
2 2 15
direct
0.1586 0.1586 0.1586
0.8414 0.8414 0.8414
0.4064 0.4064 0.4064
0.5936 0.5936 0.5936
0.0000 0.5000 0.5000
0.1574 0.1574 0.6534
0.1574 0.6534 0.1574
0.2046 0.5000 0.7954
0.2046 0.7954 0.5000
0.3466 0.8426 0.8426
0.5000 0.0000 0.5000
0.5000 0.2046 0.7954
0.5000 0.5000 0.0000
0.5000 0.7954 0.2046
0.6534 0.1574 0.1574
0.7954 0.2046 0.5000
0.7954 0.5000 0.2046
0.8426 0.3466 0.8426
0.8426 0.8426 0.3466
```

Output
E_form   -250 meV/atom
E   -6.4862 eV per atom
DOS at the Fermi energy   21.671 states/eV per cell